No. 1
{"formula": "LaZn2InH", "functional": "PBE", "state": "relaxed", "total_energy_ev_per_cell": -14.616, "space_group": "No. 123", "magmom_total_mub_per_cell": 0.00, "lattice_angstrom": [[4.693, 0.000, 0.000], [0.000, 4.693, 0.000], [0.000, 0.000, 4.461]], "species": ["La", "Zn", "Zn", "In", "H"], "frac_coords": [[0.000, 0.000, 0.000], [0.000, 0.500, 0.500], [0.500, 0.000, 0.500], [0.500, 0.500, 0.000], [0.000, 0.000, 0.500]]}

***

No. 2
{"formula": "CaCrMo2", "functional": "PBE", "state": "relaxed", "total_energy_ev_per_cell": -30.561, "de_polymorph_mev_per_atom": 118, "space_group": "No. 71", "magmom_total_mub_per_cell": 1.22, "lattice_angstrom": [[-1.536, 2.382, 4.714], [1.536, -2.382, 4.714], [1.536, 2.382, -4.714]], "species": ["Ca", "Cr", "Mo", "Mo"], "frac_coords": [[0.000, 0.000, 0.000], [0.500, 0.500, 0.000], [0.274, 0.774, 0.500], [0.726, 0.226, 0.500]]}

***

No. 3
{"formula": "LiSmAg", "functional": "PBE", "state": "relaxed", "total_energy_ev_per_cell": -9.870, "de_polymorph_mev_per_atom": 41, "space_group": "No. 107", "magmom_total_mub_per_cell": 0.00, "lattice_angstrom": [[-1.833, 1.833, 5.044], [1.833, -1.833, 5.044], [1.833, 1.833, -5.044]], "species": ["Li", "Sm", "Ag"], "frac_coords": [[0.000, 0.000, 0.000], [0.301, 0.301, 0.000], [0.620, 0.620, 0.000]]}

***

No. 4
{"formula": "Mn3Te2Se2", "functional": "PBE", "state": "relaxed", "total_energy_ev_per_cell": -42.856, "space_group": "No. 12", "magmom_total_mub_per_cell": 11.02, "e_form_raw_ev_per_atom": -0.299, "lattice_angstrom": [[6.517, -1.965, 0.000], [6.517, 1.965, 0.000], [-3.072, 0.000, 5.983]], "species": ["Mn", "Mn", "Mn", "Te", "Te", "Se", "Se"], "frac_coords": [[0.000, 0.000, 0.000], [0.253, 0.253, 0.212], [0.747, 0.747, 0.788], [0.373, 0.373, 0.694], [0.627, 0.627, 0.306], [0.121, 0.121, 0.794], [0.879, 0.879, 0.206]]}